Entry 1:
Here is LaNiI2 after structural relaxation from the Alexandria database. Energies are from GGA-PBE.

Cell lengths 9.619, 9.619, 9.619 Å; angles 23.93, 23.93, 23.93 degrees
Atoms (fractional coordinates):
1 La 0.000 0.000 0.000
2 Ni 0.500 0.500 0.500
3 I 0.113 0.113 0.113
4 I 0.887 0.887 0.887

Values from the calculation:
The theoretical density is 5.83 g/cm³. The density of states at the Fermi level comes out at 4.30 states/eV/cell. The calculation puts the distance to the lowest polymorph of the same formula at 1.318 eV/f.u. As for the raw formation energy: -12.1 kJ/mol of atoms.

=====

Entry 2:
Here is La2Ni2I after structural relaxation from the Alexandria database. Energies are from GGA-PBE.

Cell lengths 7.958, 7.958, 3.775 Å; angles 90.00, 90.00, 90.00 degrees
Atoms (fractional coordinates):
1 La 0.172 0.328 0.000
2 La 0.328 0.828 0.000
3 La 0.672 0.172 0.000
4 La 0.828 0.672 0.000
5 Ni 0.112 0.612 0.500
6 Ni 0.388 0.112 0.500
7 Ni 0.612 0.888 0.500
8 Ni 0.888 0.388 0.500
9 I 0.000 0.000 0.500
10 I 0.500 0.500 0.500

Values from the calculation:
The theoretical density is 7.25 g/cm³. The density of states at the Fermi level comes out at 9.36 states/eV/cell. As for the raw formation energy: -45.8 kJ/mol of atoms.

=====

Entry 3:
Here is LaNi2I after structural relaxation from the Alexandria database. Energies are from GGA-PBE.

Cell lengths 9.223, 9.223, 9.223 Å; angles 150.68, 150.68, 41.94 degrees
Atoms (fractional coordinates):
1 La 0.000 0.000 0.000
2 La 0.750 0.250 0.500
3 Ni 0.309 0.625 0.184
4 Ni 0.375 0.559 0.684
5 Ni 0.441 0.125 0.816
6 Ni 0.875 0.691 0.316
7 I 0.250 0.750 0.500
8 I 0.500 0.500 0.000

Values from the calculation:
The theoretical density is 6.78 g/cm³. The density of states at the Fermi level comes out at 5.92 states/eV/cell. The calculation puts the distance to the lowest polymorph of the same formula at 0.000 eV/f.u. As for the raw formation energy: 2.5 kJ/mol of atoms.

=====

Entry 4:
Here is La2Ni2I after structural relaxation from the Alexandria database. Energies are from GGA-PBE.

Cell lengths 9.078, 9.078, 9.078 Å; angles 155.68, 155.68, 34.66 degrees
Atoms (fractional coordinates):
1 La 0.134 0.134 0.000
2 La 0.866 0.866 0.000
3 Ni 0.250 0.750 0.500
4 Ni 0.750 0.250 0.500
5 I 0.500 0.500 0.000

Values from the calculation:
The theoretical density is 6.84 g/cm³. The density of states at the Fermi level comes out at 3.18 states/eV/cell. As for the raw formation energy: -46.1 kJ/mol of atoms.

=====

> Among the records above, which one has the highest raw formation energy?

LaNi2I

=====

> What is the raw formation energy in the fourth record?

-46.1 kJ/mol of atoms

=====

Copy entry 1 word for word.
Here is LaNiI2 after structural relaxation from the Alexandria database. Energies are from GGA-PBE.

Cell lengths 9.619, 9.619, 9.619 Å; angles 23.93, 23.93, 23.93 degrees
Atoms (fractional coordinates):
1 La 0.000 0.000 0.000
2 Ni 0.500 0.500 0.500
3 I 0.113 0.113 0.113
4 I 0.887 0.887 0.887

Values from the calculation:
The theoretical density is 5.83 g/cm³. The density of states at the Fermi level comes out at 4.30 states/eV/cell. The calculation puts the distance to the lowest polymorph of the same formula at 1.318 eV/f.u. As for the raw formation energy: -12.1 kJ/mol of atoms.

=====

> What is the formula in the third record?

LaNi2I